# CeSbI

A relaxed CeSbI crystal (PBE-GGA, the Alexandria database).

SG: R3m, No. 160
Formation energy without anion corrections, eV per atom: -0.72
Relative energy among the computed polymorphs, eV per atom: 0.018
Total energy, Ry per atom: -0.337
Fermi-level density of states, states/eV/cell: 0.9

Geometry as POSCAR:
```
CeSbI
1.0
5.314 0.000 0.000
-2.657 4.602 0.000
0.000 0.000 12.985
Ce Sb I
3 3 3
Direct
0.000 0.000 0.000
0.333 0.667 0.667
0.667 0.333 0.333
0.000 0.000 0.250
0.333 0.667 0.917
0.667 0.333 0.584
0.000 0.000 0.750
0.333 0.667 0.416
0.667 0.333 0.083
```

=====

# In2NiAg

A relaxed In2NiAg crystal (PBE-GGA, the Alexandria database).

SG: R3m, No. 160
Formation energy from the elements, eV/atom: 0.17
Relative energy among the computed polymorphs, eV per atom: 0.205
Total energy, Ry per atom: -0.247
Fermi-level density of states, states/eV/cell: 5.6

Geometry as POSCAR:
```
In2NiAg
1.0
3.209 0.000 0.000
-1.604 2.779 0.000
0.000 0.000 26.648
In Ni Ag
6 3 3
Direct
0.000 0.000 0.000
0.000 0.000 0.232
0.333 0.667 0.667
0.333 0.667 0.898
0.667 0.333 0.333
0.667 0.333 0.565
0.000 0.000 0.737
0.333 0.667 0.403
0.667 0.333 0.070
0.000 0.000 0.476
0.333 0.667 0.143
0.667 0.333 0.809
```